Mg3Zn | SCAN | single point on PBEsol structure

Computed properties:
Total magnetization   0.0 μB/f.u.
Volume   19.60 A^3/atom
Space-group type   Fm-3m (225)
Energy relative to the elements   -22 meV/atom

```
Mg3Zn
1.0
0.0000 3.3968 3.3968
3.3968 0.0000 3.3968
3.3968 3.3968 0.0000
Mg Zn
3 1
Direct
0.0000 0.0000 0.0000
0.2500 0.2500 0.2500
0.7500 0.7500 0.7500
0.5000 0.5000 0.5000
```